{"formula": "Si2WSe", "functional": "PBE", "state": "relaxed", "total_magnetization_mub_per_atom": 0.0000, "final_energy_ev_per_atom": -6.7218, "mass_density_g_cm3": 7.2, "e_form_raw_ev_per_atom": 0.10, "lattice_angstrom": [[-4.340, 0.268, -0.579], [-1.387, -4.930, 2.450], [-1.946, 2.414, 5.256]], "species": ["Se", "W", "Si", "Se", "Si", "Si", "W", "Si"], "fractional_positions": [[0.310, 0.737, 0.109], [0.090, 0.913, 0.768], [0.899, 0.498, 0.327], [0.690, 0.263, 0.891], [0.335, 0.173, 0.426], [0.665, 0.827, 0.574], [0.910, 0.087, 0.232], [0.101, 0.502, 0.673]]}

{"formula": "Fe3SiS", "functional": "PBE", "state": "relaxed", "total_magnetization_mub_per_atom": 0.0000, "final_energy_ev_per_atom": -6.4745, "mass_density_g_cm3": 5.8, "e_form_raw_ev_per_atom": 0.51, "lattice_angstrom": [[4.025, 0.000, 0.000], [0.000, 4.025, 0.000], [0.000, 0.000, 4.025]], "species": ["Fe", "S", "Fe", "Fe", "Si"], "fractional_positions": [[0.000, 0.500, 0.000], [0.000, 0.000, 0.000], [0.500, 0.000, 0.000], [0.000, 0.000, 0.500], [0.500, 0.500, 0.500]]}

{"formula": "BaSnGePd3", "functional": "PBE", "state": "relaxed", "total_magnetization_mub_per_atom": 0.0000, "final_energy_ev_per_atom": -4.9073, "formation_energy_ev_per_atom": -0.554, "mass_density_g_cm3": 7.0, "lattice_angstrom": [[-5.482, -1.740, 2.392], [1.598, -6.844, -1.316], [2.073, 2.900, 6.863]], "species": ["Sn", "Pd", "Pd", "Ba", "Ge", "Pd", "Pd", "Ge", "Sn", "Pd", "Ba", "Pd"], "fractional_positions": [[0.750, 0.547, 0.093], [0.500, 0.794, 0.000], [0.000, 0.206, 0.000], [0.750, 0.237, 0.473], [0.250, 0.088, 0.176], [0.000, 0.794, 0.000], [0.250, 0.264, 0.527], [0.750, 0.912, 0.824], [0.250, 0.453, 0.907], [0.750, 0.736, 0.473], [0.250, 0.763, 0.527], [0.500, 0.206, 0.000]]}

{"formula": "Sr2GaHgPd6", "functional": "PBE", "state": "relaxed", "total_magnetization_mub_per_atom": 0.0000, "final_energy_ev_per_atom": -4.2925, "formation_energy_ev_per_atom": -0.508, "mass_density_g_cm3": 8.2, "lattice_angstrom": [[-4.949, -2.677, -3.628], [-0.144, -4.320, 5.574], [-4.681, -1.124, 5.144]], "species": ["Sr", "Pd", "Pd", "Pd", "Pd", "Sr", "Hg", "Ga", "Pd", "Pd"], "fractional_positions": [[0.770, 0.243, 0.474], [0.228, 0.744, 0.017], [0.228, 0.244, 0.516], [0.772, 0.756, 0.484], [0.772, 0.256, 0.983], [0.230, 0.757, 0.526], [0.500, 0.500, 0.000], [0.000, 0.000, 0.000], [0.582, 0.751, 0.171], [0.418, 0.249, 0.829]]}